No. 1
Entry from Alexandria: a relaxed NpZn4N4 crystal (GGA-PBE).

Geometry as POSCAR:
```
NpZn4N4
1.0
5.8777 -0.2654 0.0000
-0.8230 5.8259 0.0000
0.0000 0.0000 7.0246
N Zn Np
8 8 2
direct
0.7840 0.7840 0.5211 N
0.7528 0.2959 0.2500 N
0.2472 0.7041 0.7500 N
0.2160 0.2160 0.0211 N
0.7840 0.7840 0.9789 N
0.2959 0.7528 0.2500 N
0.2160 0.2160 0.4789 N
0.7041 0.2472 0.7500 N
0.1543 0.8457 0.0000 Zn
0.1236 0.4178 0.2500 Zn
0.8764 0.5822 0.7500 Zn
0.8457 0.1543 0.0000 Zn
0.8457 0.1543 0.5000 Zn
0.1543 0.8457 0.5000 Zn
0.4178 0.1236 0.2500 Zn
0.5822 0.8764 0.7500 Zn
0.3510 0.3510 0.7500 Np
0.6490 0.6490 0.2500 Np
```

Summary:
- Energy relative to the elements, uncorrected: -102 meV/atom


No. 2
Entry from Alexandria: a relaxed NpZn5N6 crystal (GGA-PBE).

Geometry as POSCAR:
```
NpZn5N6
1.0
-5.0794 0.2511 -1.7421
-2.8811 -3.7583 2.5601
-2.4566 1.2224 4.6896
N Zn Np
6 5 1
direct
0.7498 0.0831 0.3245 N
0.7498 0.4076 0.6755 N
0.2502 0.9169 0.6755 N
0.2354 0.2423 0.0000 N
0.7646 0.7577 0.0000 N
0.2502 0.5924 0.3245 N
0.5000 0.8257 0.3486 Zn
0.0000 0.3325 0.3350 Zn
0.0000 0.6675 0.6650 Zn
0.5000 0.1743 0.6514 Zn
0.5000 0.5000 0.0000 Zn
0.0000 0.0000 0.0000 Np
```

Summary:
- Energy relative to the elements, uncorrected: 26 meV/atom


No. 3
Entry from Alexandria: a relaxed NpZn4N5 crystal (GGA-PBE).

Geometry as POSCAR:
```
NpZn4N5
1.0
4.6219 0.0000 2.2293
2.3110 4.8913 1.1146
0.1860 0.0000 5.5203
Zn N Np
4 5 1
direct
0.8482 0.7021 0.7018 Zn
0.5501 0.2982 0.7021 Zn
0.5503 0.7018 0.2979 Zn
0.2521 0.2979 0.2982 Zn
0.6686 0.2919 0.2921 N
0.9605 0.2921 0.7081 N
0.9607 0.7079 0.2919 N
0.4760 0.0000 0.0000 N
0.2526 0.7081 0.7079 N
0.9911 0.0000 0.0000 Np
```

Summary:
- Energy relative to the elements, uncorrected: -127 meV/atom


No. 4
Entry from Alexandria: a relaxed NpZn2N4 crystal (GGA-PBE).

Geometry as POSCAR:
```
NpZn2N4
1.0
-2.1448 3.7716 -3.9488
-2.2335 -5.4159 0.3129
-1.7119 2.6544 5.6868
N Zn Np
8 4 2
direct
0.4710 0.2038 0.1350 N
0.0688 0.3360 0.8650 N
0.0409 0.2925 0.3829 N
0.4538 0.2210 0.6350 N
0.9080 0.6596 0.1171 N
0.5860 0.8188 0.3650 N
0.9096 0.6580 0.6171 N
0.5425 0.7909 0.8829 N
0.1724 0.7868 0.9472 Zn
0.4753 0.5896 0.5528 Zn
0.0368 0.9224 0.4472 Zn
0.8396 0.2253 0.0528 Zn
0.4910 0.4910 0.0000 Np
0.7410 0.2410 0.5000 Np
```

Summary:
- Energy relative to the elements, uncorrected: -47 meV/atom


No. 5
Entry from Alexandria: a relaxed NpZnN2 crystal (GGA-PBE).

Geometry as POSCAR:
```
NpZnN2
1.0
3.5988 0.0000 0.0000
1.7994 3.1166 0.0000
1.7994 1.0389 5.7292
Zn Np N
1 1 2
direct
0.0000 0.0000 0.0000 Zn
0.5000 0.5000 0.5000 Np
0.8921 0.8921 0.3238 N
0.1079 0.1079 0.6762 N
```

Summary:
- Energy relative to the elements, uncorrected: -597 meV/atom


No. 6
Entry from Alexandria: a relaxed NpZn5N5 crystal (GGA-PBE).

Geometry as POSCAR:
```
NpZn5N5
1.0
-4.2680 1.1823 -0.9466
0.4236 -4.8599 2.8531
0.5975 5.1494 3.7374
Zn N Np
5 5 1
direct
0.3301 0.6601 0.1504 Zn
0.6699 0.3399 0.8496 Zn
0.0000 0.0000 0.5000 Zn
0.3041 0.6081 0.6731 Zn
0.6959 0.3919 0.3269 Zn
0.8551 0.7102 0.1916 N
0.1449 0.2898 0.8084 N
0.8072 0.6144 0.6823 N
0.5000 0.0000 0.0000 N
0.1928 0.3856 0.3177 N
0.0000 0.0000 0.0000 Np
```

Summary:
- Energy relative to the elements, uncorrected: -82 meV/atom


No. 7
Entry from Alexandria: a relaxed Zr3NpN6 crystal (GGA-PBE).

Geometry as POSCAR:
```
Zr3NpN6
1.0
-0.0999 3.5337 -5.4449
-6.4674 0.2794 0.4890
0.6648 5.3348 3.6391
Np N Zr
2 12 6
direct
0.0000 0.0000 0.0000 Np
0.5000 0.5000 0.5000 Np
0.9114 0.0687 0.3110 N
0.4661 0.5964 0.8126 N
0.9313 0.6890 0.0886 N
0.5339 0.4036 0.1874 N
0.0687 0.3110 0.9114 N
0.6890 0.0886 0.9313 N
0.8126 0.4661 0.5964 N
0.0886 0.9313 0.6890 N
0.1874 0.5339 0.4036 N
0.4036 0.1874 0.5339 N
0.3110 0.9114 0.0687 N
0.5964 0.8126 0.4661 N
0.7500 0.4469 0.9395 Zr
0.0605 0.2500 0.5531 Zr
0.9395 0.7500 0.4469 Zr
0.2500 0.5531 0.0605 Zr
0.4469 0.9395 0.7500 Zr
0.5531 0.0605 0.2500 Zr
```

Summary:
- Energy relative to the elements, uncorrected: -1375 meV/atom


No. 8
Entry from Alexandria: a relaxed Zr2NpN3 crystal (GGA-PBE).

Geometry as POSCAR:
```
Zr2NpN3
1.0
0.3490 -1.5124 -2.9271
0.8124 -4.0591 2.1942
-5.4871 1.7717 0.3071
N Zr Np
3 2 1
direct
0.5000 0.5000 0.0000 N
0.8306 0.8308 0.6616 N
0.1694 0.1692 0.3384 N
0.8311 0.3306 0.6611 Zr
0.1689 0.6694 0.3389 Zr
0.5000 0.0000 0.0000 Np
```

Summary:
- Energy relative to the elements, uncorrected: -1522 meV/atom


No. 9
Entry from Alexandria: a relaxed ZrNp5N6 crystal (GGA-PBE).

Geometry as POSCAR:
```
ZrNp5N6
1.0
5.8035 -0.0878 -1.0913
-3.1335 4.8856 -1.0913
0.1167 0.2097 5.9030
Np N Zr
5 6 1
direct
0.3336 0.6664 0.0000 Np
0.5000 0.5000 0.5000 Np
0.6664 0.3336 0.0000 Np
0.1662 0.8338 0.5000 Np
0.8338 0.1662 0.5000 Np
0.4071 0.0806 0.2431 N
0.2436 0.2436 0.7533 N
0.9194 0.5929 0.7569 N
0.0806 0.4071 0.2431 N
0.5929 0.9194 0.7569 N
0.7564 0.7564 0.2467 N
0.0000 0.0000 0.0000 Zr
```

Summary:
- Energy relative to the elements, uncorrected: -1230 meV/atom


No. 10
Entry from Alexandria: a relaxed ZrNpN3 crystal (GGA-PBE).

Geometry as POSCAR:
```
ZrNpN3
1.0
5.5052 0.0000 0.0000
2.7526 4.7676 0.0000
2.7526 1.5892 5.3522
Np Zr N
2 2 6
direct
0.3467 0.3467 0.9599 Np
0.6533 0.6533 0.0401 Np
0.8565 0.8565 0.4306 Zr
0.1435 0.1435 0.5694 Zr
0.7564 0.4508 0.7507 N
0.9579 0.5492 0.2493 N
0.2436 0.9579 0.2493 N
0.0421 0.7564 0.7507 N
0.5492 0.2436 0.2493 N
0.4508 0.0421 0.7507 N
```

Summary:
- Energy relative to the elements, uncorrected: -960 meV/atom


No. 11
Entry from Alexandria: a relaxed ZrNpN crystal (GGA-PBE).

Geometry as POSCAR:
```
ZrNpN
1.0
-0.8856 2.8156 1.0002
-1.2896 -1.3012 2.5211
6.4582 -0.1544 1.2978
Np N Zr
1 1 1
direct
0.3119 0.3119 0.6238 Np
0.5149 0.5149 0.0298 N
0.0232 0.0232 0.0464 Zr
```

Summary:
- Energy relative to the elements, uncorrected: -386 meV/atom
- Energy relative to the lowest polymorph listed for this composition: 0.000 eV per atom


No. 12
Entry from Alexandria: a relaxed Zr5NpN6 crystal (GGA-PBE).

Geometry as POSCAR:
```
Zr5NpN6
1.0
5.5883 -0.8924 -0.6953
-2.1548 5.2328 -0.6953
-0.3314 -0.4190 5.6751
Zr N Np
5 6 1
direct
0.3321 0.6679 0.0000 Zr
0.8295 0.1705 0.5000 Zr
0.1705 0.8295 0.5000 Zr
0.5000 0.5000 0.5000 Zr
0.6679 0.3321 0.0000 Zr
0.7495 0.7495 0.2513 N
0.5831 0.9159 0.7488 N
0.0841 0.4169 0.2512 N
0.9159 0.5831 0.7488 N
0.2505 0.2505 0.7487 N
0.4169 0.0841 0.2512 N
0.0000 0.0000 0.0000 Np
```

Summary:
- Energy relative to the elements, uncorrected: -1614 meV/atom


What did we get for magnetization? Answer: 6.0; 0.0; 0.1; 0.0; 3.0; 1.8; 2.0; 2.8; 15.3; 4.0; 5.3; 2.8 Bohr magnetons per cell, in the order shown.